Entry 1:
# ZrAl3Br PBE-GGA relaxed
data_ZrAl3Br
_chemical_formula_sum 'Zr1 Al3 Br1'
_cell_length_a 4.9039
_cell_length_b 4.9039
_cell_length_c 4.9039
_cell_angle_alpha 90.00
_cell_angle_beta 90.00
_cell_angle_gamma 90.00
_symmetry_space_group_name_H-M 'P m -3 m'
_symmetry_Int_Tables_number 221
_symmetry_space_group_name_Hall '-P 4 2 3'
loop_
_atom_site_label
_atom_site_type_symbol
_atom_site_fract_x
_atom_site_fract_y
_atom_site_fract_z
Zr1 Zr 0.0000 0.0000 0.0000
Al1 Al 0.0000 0.5000 0.5000
Br1 Br 0.5000 0.5000 0.5000
# ΔE_f (raw) = 807 meV/atom
# mass density = 3.549 g/cm³
# V = 23.6 Å³/atom
# energy relative to the lowest polymorph listed for this composition = 0 meV per atom



Entry 2:
# AcLa4Pr2Sm PBE-GGA relaxed
data_AcLa4Pr2Sm
_chemical_formula_sum 'Ac1 La4 Pr2 Sm1'
_cell_length_a 5.2995
_cell_length_b 5.3185
_cell_length_c 10.5749
_cell_angle_alpha 90.00
_cell_angle_beta 90.06
_cell_angle_gamma 90.00
_symmetry_space_group_name_H-M 'P 1 2/m 1'
_symmetry_Int_Tables_number 10
loop_
_symmetry_equiv_pos_as_xyz
'x,y,z'
'-x,-y,-z'
'-x,y,-z'
'x,-y,z'
loop_
_atom_site_label
_atom_site_type_symbol
_atom_site_fract_x
_atom_site_fract_y
_atom_site_fract_z
Ac1 Ac 0.0000 0.0000 0.0000
La1 La 0.0008 0.5000 0.2565
La2 La 0.4993 0.0000 0.7435
Pr1 Pr 0.0000 0.0000 0.5000
Pr2 Pr 0.5000 0.5000 0.0000
Sm1 Sm 0.5000 0.5000 0.5000
# energy relative to the elements = 12 kJ/mol of formula units
# mass density = 6.768 g/cm³
# V = 37.3 Å³/atom



Entry 3:
# Tl2SCl PBE-GGA relaxed
data_Tl2SCl
_chemical_formula_sum 'Tl6 S3 Cl3'
_cell_length_a 4.2550
_cell_length_b 4.2550
_cell_length_c 22.5410
_cell_angle_alpha 90.00
_cell_angle_beta 90.00
_cell_angle_gamma 120.00
_symmetry_space_group_name_H-M 'R 3 m'
_symmetry_Int_Tables_number 160
_symmetry_space_group_name_Hall 'R 3 -2"'
loop_
_atom_site_label
_atom_site_type_symbol
_atom_site_fract_x
_atom_site_fract_y
_atom_site_fract_z
Tl1 Tl 0.0000 0.0000 0.0000
Tl2 Tl 0.0000 0.0000 0.1858
S1 S 0.0000 0.0000 0.5972
Cl1 Cl 0.0000 0.0000 0.4225
# ΔE_f (raw) = -470 meV/atom
# mass density = 6.713 g/cm³
# V = 29.5 Å³/atom
# energy relative to the lowest polymorph listed for this composition = 77 meV per atom



Entry 4:
# ScAlRe PBE-GGA relaxed
data_ScAlRe
_chemical_formula_sum 'Sc4 Al4 Re4'
_cell_length_a 3.4335
_cell_length_b 4.5303
_cell_length_c 13.0936
_cell_angle_alpha 90.00
_cell_angle_beta 90.00
_cell_angle_gamma 90.00
_symmetry_space_group_name_H-M 'F m m 2'
_symmetry_Int_Tables_number 42
_symmetry_space_group_name_Hall 'F 2 -2'
loop_
_atom_site_label
_atom_site_type_symbol
_atom_site_fract_x
_atom_site_fract_y
_atom_site_fract_z
Sc1 Sc 0.0000 0.0000 0.0000
Al1 Al 0.0000 0.0000 0.3148
Re1 Re 0.0000 0.0000 0.6656
# energy relative to the elements = -26 kJ/mol of formula units
# mass density = 8.419 g/cm³
# V = 17.0 Å³/atom
# energy relative to the lowest polymorph listed for this composition = 347 meV per atom



Entry 5:
# Mg3NbB PBE-GGA relaxed
data_Mg3NbB
_chemical_formula_sum 'Mg3 Nb1 B1'
_cell_length_a 4.4916
_cell_length_b 4.4916
_cell_length_c 4.4916
_cell_angle_alpha 90.00
_cell_angle_beta 90.00
_cell_angle_gamma 90.00
_symmetry_space_group_name_H-M 'P m -3 m'
_symmetry_Int_Tables_number 221
_symmetry_space_group_name_Hall '-P 4 2 3'
loop_
_atom_site_label
_atom_site_type_symbol
_atom_site_fract_x
_atom_site_fract_y
_atom_site_fract_z
Mg1 Mg 0.0000 0.0000 0.5000
Nb1 Nb 0.5000 0.5000 0.5000
B1 B 0.0000 0.0000 0.0000
# energy relative to the elements = 346 kJ/mol of formula units
# mass density = 3.237 g/cm³
# V = 18.1 Å³/atom
# energy relative to the lowest polymorph listed for this composition = 0 meV per atom



Entry 6:
# InRe2Hg PBE-GGA relaxed
data_InRe2Hg
_chemical_formula_sum 'In4 Re8 Hg4'
_cell_length_a 6.5305
_cell_length_b 6.5305
_cell_length_c 6.5305
_cell_angle_alpha 90.00
_cell_angle_beta 90.00
_cell_angle_gamma 90.00
_symmetry_space_group_name_H-M 'F m -3 m'
_symmetry_Int_Tables_number 225
_symmetry_space_group_name_Hall '-F 4 2 3'
loop_
_atom_site_label
_atom_site_type_symbol
_atom_site_fract_x
_atom_site_fract_y
_atom_site_fract_z
In1 In 0.0000 0.0000 0.0000
Re1 Re 0.2500 0.2500 0.2500
Hg1 Hg 0.0000 0.0000 0.5000
# energy relative to the elements = 424 kJ/mol of formula units
# mass density = 16.404 g/cm³
# V = 17.4 Å³/atom
# energy relative to the lowest polymorph listed for this composition = 804 meV per atom



Entry 7:
# Tb3Pm3ScS8 PBE-GGA relaxed
data_Tb3Pm3ScS8
_chemical_formula_sum 'Tb9 Pm9 Sc3 S24'
_cell_length_a 7.8785
_cell_length_b 7.8785
_cell_length_c 19.4893
_cell_angle_alpha 90.00
_cell_angle_beta 90.00
_cell_angle_gamma 120.00
_symmetry_space_group_name_H-M 'R -3 m'
_symmetry_Int_Tables_number 166
_symmetry_space_group_name_Hall '-R 3 2"'
loop_
_atom_site_label
_atom_site_type_symbol
_atom_site_fract_x
_atom_site_fract_y
_atom_site_fract_z
Tb1 Tb 0.0000 0.5000 0.0000
Pm1 Pm 0.0000 0.5000 0.5000
Sc1 Sc 0.0000 0.0000 0.0000
S1 S 0.0000 0.0000 0.2532
S2 S 0.0100 0.5050 0.7444
# ΔE_f (raw) = -2043 meV/atom
# mass density = 5.769 g/cm³
# V = 23.3 Å³/atom



Values of spin magnetization, in order: 0.00 0.00 0.00 0.00 0.00 0.00 0.00, all in Bohr magnetons per cell.